The following is a PBE-GGA calculation of an optimized crystal structure of Bi3Pd6Au, from Alexandria.

Calculated values
VASP energy, eV per atom: -4.777
Calculated volume, A^3/atom: 20.4
Theoretical density, Mg/m³: 11.88

```
10
Lattice="7.257 -2.936 0.000 7.257 2.936 0.000 -0.175 0.000 4.798" Properties=species:S:1:pos:R:3 pbc="T T T"
Bi 0.000 0.000 0.000
Bi 4.446 0.000 3.650
Bi 9.892 0.000 1.148
Pd 5.171 1.489 1.232
Pd 2.592 0.000 1.201
Pd 9.168 1.489 3.566
Pd 5.171 -1.489 1.232
Pd 11.746 0.000 3.597
Pd 9.168 -1.489 3.566
Au 7.169 0.000 2.399
```